# 1
# BaZrAgS2 | Alexandria via LeMat-Bulk | PBE | relaxed
# Raw formation energy ... 10.65 kcal/mol of atoms
# Calculated volume ... 142.1 Å³ per cell
data_BaZrAgS2
_chemical_formula_sum 'Ba1 Zr1 Ag1 S2'
_space_group_name_H-M_alt 'P 4/m m m'
_space_group_IT_number 123
_space_group_name_Hall '-P 4 2'
_cell_length_a 5.112
_cell_length_b 5.112
_cell_length_c 5.437
_cell_angle_alpha 90.00
_cell_angle_beta 90.00
_cell_angle_gamma 90.00
loop_
_atom_site_label
_atom_site_type_symbol
_atom_site_fract_x
_atom_site_fract_y
_atom_site_fract_z
Ba1 Ba 0.000 0.000 0.000
Zr1 Zr 0.500 0.500 0.000
Ag1 Ag 0.000 0.000 0.500
S1 S 0.000 0.500 0.500

# 2
# Ba3ZrAg2S6 | Alexandria via LeMat-Bulk | PBE | relaxed
# Raw formation energy ... -28.98 kcal/mol of atoms
# Calculated volume ... 367.5 Å³ per cell
data_Ba3ZrAg2S6
_chemical_formula_sum 'Ba3 Zr1 Ag2 S6'
_space_group_name_H-M_alt 'P -3 m 1'
_space_group_IT_number 164
_space_group_name_Hall '-P 3 2"'
_cell_length_a 7.3777
_cell_length_b 7.3777
_cell_length_c 7.7964
_cell_angle_alpha 90.00
_cell_angle_beta 90.00
_cell_angle_gamma 120.00
loop_
_atom_site_label
_atom_site_type_symbol
_atom_site_fract_x
_atom_site_fract_y
_atom_site_fract_z
Ba1 Ba 0.0000 0.0000 0.0000
Ba2 Ba 0.3333 0.6667 0.6067
Zr1 Zr 0.0000 0.0000 0.5000
Ag1 Ag 0.3333 0.6667 0.1555
S1 S 0.1612 0.3225 0.3041

# 3
# Ba2ZrAgS5 | Alexandria via LeMat-Bulk | PBE | relaxed
# Raw formation energy ... -32.35 kcal/mol of atoms
# Calculated volume ... 939.6 Å³ per cell
data_Ba2ZrAgS5
_chemical_formula_sum 'Ba8 Zr4 Ag4 S20'
_space_group_name_H-M_alt 'C m c 21'
_space_group_IT_number 36
_cell_length_a 3.971
_cell_length_b 18.564
_cell_length_c 12.746
_cell_angle_alpha 90.00
_cell_angle_beta 90.00
_cell_angle_gamma 90.00
loop_
_space_group_symop_operation_xyz
'x,y,z'
'-x,-y,z+1/2'
'-x,y,z'
'x,-y,z+1/2'
'x+1/2,y+1/2,z'
'-x+1/2,-y+1/2,z+1/2'
'-x+1/2,y+1/2,z'
'x+1/2,-y+1/2,z+1/2'
loop_
_atom_site_label
_atom_site_type_symbol
_atom_site_fract_x
_atom_site_fract_y
_atom_site_fract_z
Ba1 Ba 0.000 0.118 0.000
Ba2 Ba 0.000 0.127 0.614
Zr1 Zr 0.000 0.213 0.315
Ag1 Ag 0.000 0.455 0.753
S1 S 0.000 0.071 0.357
S2 S 0.000 0.288 0.950
S3 S 0.000 0.299 0.678
S4 S 0.000 0.347 0.311
S5 S 0.000 0.499 0.077